## Cs3PSe (GGA-PBEsol)

Data for Cs3PSe after structural relaxation.

POSCAR file:
```
Cs3PSe
1.0
-4.156 -5.004 1.814
4.323 -4.516 -2.553
3.105 -0.410 5.983
Se Cs P
1 3 1
Direct
0.000 0.000 0.000
0.000 0.000 0.500
0.000 0.500 0.000
0.500 0.000 0.000
0.500 0.500 0.500
```

Properties
Formation energy without anion corrections = -0.152 eV per atom

## CsPSe3 (GGA-PBEsol)

Data for CsPSe3 after structural relaxation.

POSCAR file:
```
CsPSe3
1.0
-3.489 -1.299 3.379
-1.411 -3.835 -2.931
3.334 -2.982 2.297
Cs P Se
1 1 3
Direct
0.500 0.500 0.500
0.000 0.000 0.000
0.500 0.000 0.000
0.000 0.500 0.000
0.000 0.000 0.500
```

Properties
Formation energy without anion corrections = -0.166 eV per atom

## Cs2SiP (GGA-PBEsol)

Data for Cs2SiP after structural relaxation.

POSCAR file:
```
Cs2SiP
1.0
4.553 0.000 0.000
2.276 9.436 0.000
2.276 0.000 9.436
P Cs Si
2 4 2
Direct
0.000 0.000 0.000
0.750 0.500 0.500
0.927 0.198 0.698
0.875 0.302 0.198
0.823 0.802 0.302
0.375 0.698 0.802
0.500 0.000 0.000
0.250 0.500 0.500
```

Properties
Formation energy without anion corrections = 0.067 eV per atom

## Cs3SnP (GGA-PBEsol)

Data for Cs3SnP after structural relaxation.

POSCAR file:
```
Cs3SnP
1.0
-1.756 4.857 -4.209
-5.970 -2.848 -0.796
-2.379 3.562 5.103
Sn Cs P
1 3 1
Direct
0.500 0.500 0.500
0.500 0.000 0.000
0.000 0.000 0.500
0.000 0.500 0.000
0.000 0.000 0.000
```

Properties
Energy relative to the elements = 0.241 eV/atom

## Cs2SnP (GGA-PBEsol)

Data for Cs2SnP after structural relaxation.

POSCAR file:
```
Cs2SnP
1.0
-2.334 -4.555 2.988
-2.871 -4.292 -2.909
2.413 -5.394 -0.460
Cs Sn P
2 1 1
Direct
0.750 0.750 0.750
0.250 0.250 0.250
0.500 0.500 0.500
0.000 0.000 0.000
```

Properties
Energy relative to the elements = 0.376 eV/atom

## CsSr3P (GGA-PBEsol)

Data for CsSr3P after structural relaxation.

POSCAR file:
```
CsSr3P
1.0
-0.164 -5.249 3.156
4.136 -2.424 -3.816
4.517 2.028 3.609
Cs Sr P
1 3 1
Direct
0.500 0.500 0.500
0.000 0.500 0.000
0.500 0.000 0.000
0.000 0.000 0.500
0.000 0.000 0.000
```

Properties
Energy relative to the elements = -0.349 eV/atom

## Cs2TaP2 (GGA-PBEsol)

Data for Cs2TaP2 after structural relaxation.

POSCAR file:
```
Cs2TaP2
1.0
3.314 0.000 0.000
0.000 3.314 0.000
-1.657 -1.657 12.539
Cs P Ta
2 2 1
Direct
0.373 0.373 0.746
0.627 0.627 0.254
0.750 0.250 0.500
0.250 0.750 0.500
0.000 0.000 0.000
```

Properties
Energy relative to the elements = 0.890 eV/atom

## CsTa3P (GGA-PBEsol)

Data for CsTa3P after structural relaxation.

POSCAR file:
```
CsTa3P
1.0
-1.548 -4.446 0.695
4.500 -1.525 0.268
-0.028 0.745 4.700
P Ta Cs
1 3 1
Direct
0.000 0.000 0.000
0.000 0.000 0.500
0.000 0.500 0.000
0.500 0.000 0.000
0.500 0.500 0.500
```

Properties
Energy relative to the elements = 1.182 eV/atom

## Cs3TcP (GGA-PBEsol)

Data for Cs3TcP after structural relaxation.

POSCAR file:
```
Cs3TcP
1.0
-1.528 -1.456 6.339
4.698 -4.751 0.041
4.499 4.466 2.111
Cs Tc P
3 1 1
Direct
0.000 0.000 0.500
0.500 0.000 0.000
0.000 0.500 0.000
0.500 0.500 0.500
0.000 0.000 0.000
```

Properties
Energy relative to the elements = 1.237 eV/atom

## CsTe2P (GGA-PBEsol)

Data for CsTe2P after structural relaxation.

POSCAR file:
```
CsTe2P
1.0
-6.241 -0.308 1.773
-1.750 -3.605 5.111
-1.846 3.585 6.023
Cs P Te
1 1 2
Direct
0.500 0.500 0.500
0.000 0.000 0.000
0.869 0.869 0.392
0.131 0.131 0.608
```

Properties
Formation energy without anion corrections = 0.259 eV per atom

## CsY3P (GGA-PBEsol)

Data for CsY3P after structural relaxation.

POSCAR file:
```
CsY3P
1.0
-3.991 1.689 -3.327
0.104 -4.820 -2.571
-3.730 -1.941 3.489
Y Cs P
3 1 1
Direct
0.000 0.000 0.500
0.000 0.500 0.000
0.500 0.000 0.000
0.500 0.500 0.500
0.000 0.000 0.000
```

Properties
Energy relative to the elements = -0.097 eV/atom

## CsZn4P3 (GGA-PBEsol)

Data for CsZn4P3 after structural relaxation.

POSCAR file:
```
CsZn4P3
1.0
4.019 0.000 0.000
0.000 4.019 0.000
0.000 0.000 10.211
P Zn Cs
3 4 1
Direct
0.500 0.500 0.721
0.000 0.000 0.000
0.500 0.500 0.279
0.500 0.000 0.153
0.000 0.500 0.847
0.000 0.500 0.153
0.500 0.000 0.847
0.000 0.000 0.500
```

Properties
Energy relative to the elements = -0.299 eV/atom

## CsPb (GGA-PBEsol)

Data for CsPb after structural relaxation.

POSCAR file:
```
CsPb
1.0
4.743 0.000 0.000
0.000 6.530 0.000
-2.371 -3.265 5.715
Cs Pb
2 2
Direct
0.407 0.657 0.814
0.593 0.343 0.186
0.829 0.079 0.658
0.171 0.921 0.342
```

Properties
Energy relative to the elements = -0.182 eV/atom

## CsPd2Pb2 (GGA-PBEsol)

Data for CsPd2Pb2 after structural relaxation.

POSCAR file:
```
CsPd2Pb2
1.0
-3.153 -2.390 0.898
1.244 -0.191 3.857
-3.737 8.178 -0.523
Pd Pb Cs
2 2 1
Direct
0.750 0.250 0.500
0.250 0.750 0.500
0.644 0.644 0.287
0.356 0.356 0.713
0.000 0.000 0.000
```

Properties
Energy relative to the elements = -0.184 eV/atom

## CsPdPt2Pb (GGA-PBEsol)

Data for CsPdPt2Pb after structural relaxation.

POSCAR file:
```
CsPdPt2Pb
1.0
-4.003 3.010 -0.615
-2.868 -3.299 2.521
1.309 2.793 5.146
Pd Pt Pb Cs
1 2 1 1
Direct
0.500 0.500 0.500
0.500 0.000 0.000
0.000 0.500 0.000
0.000 0.000 0.500
0.000 0.000 0.000
```

Properties
Energy relative to the elements = 2.101 eV/atom

## CsPtPb2 (GGA-PBEsol)

Data for CsPtPb2 after structural relaxation.

POSCAR file:
```
CsPtPb2
1.0
5.314 0.000 0.000
2.657 4.602 0.000
2.657 1.534 4.339
Pt Cs Pb
1 1 2
Direct
0.500 0.500 0.500
0.000 0.000 0.000
0.750 0.750 0.750
0.250 0.250 0.250
```

Properties
Energy relative to the elements = 0.306 eV/atom

## CsRbPb2 (GGA-PBEsol)

Data for CsRbPb2 after structural relaxation.

POSCAR file:
```
CsRbPb2
1.0
-4.279 -1.952 -3.936
-0.309 -5.939 -1.496
-4.675 -3.427 2.003
Pb Rb Cs
2 1 1
Direct
0.250 0.250 0.250
0.750 0.750 0.750
0.000 0.000 0.000
0.500 0.500 0.500
```

Properties
Energy relative to the elements = 0.149 eV/atom

## CsRbPb2Se (GGA-PBEsol)

Data for CsRbPb2Se after structural relaxation.

POSCAR file:
```
CsRbPb2Se
1.0
-4.103 -4.410 -0.927
1.480 -2.503 5.356
-4.565 3.626 2.956
Pb Cs Rb Se
2 1 1 1
Direct
0.500 0.000 0.000
0.000 0.500 0.000
0.000 0.000 0.500
0.000 0.000 0.000
0.500 0.500 0.500
```

Properties
Formation energy without anion corrections = 0.848 eV per atom

## CsRh2Pb2 (GGA-PBEsol)

Data for CsRh2Pb2 after structural relaxation.

POSCAR file:
```
CsRh2Pb2
1.0
-2.347 3.189 -0.267
-2.983 -2.059 1.617
5.229 1.991 7.311
Cs Rh Pb
1 2 2
Direct
0.000 0.000 0.000
0.750 0.250 0.500
0.250 0.750 0.500
0.647 0.647 0.294
0.353 0.353 0.706
```

Properties
Energy relative to the elements = -0.019 eV/atom

## Cs2RhPb (GGA-PBEsol)

Data for Cs2RhPb after structural relaxation.

POSCAR file:
```
Cs2RhPb
1.0
5.767 0.000 0.000
2.884 4.995 0.000
2.884 1.665 4.709
Pb Cs Rh
1 2 1
Direct
0.500 0.500 0.500
0.250 0.250 0.250
0.750 0.750 0.750
0.000 0.000 0.000
```

Properties
Energy relative to the elements = 0.898 eV/atom

## CsRu3Pb (GGA-PBEsol)

Data for CsRu3Pb after structural relaxation.

POSCAR file:
```
CsRu3Pb
1.0
-2.085 -3.666 -2.860
4.599 -2.084 -0.681
-0.680 -2.861 4.161
Ru Pb Cs
3 1 1
Direct
0.500 0.000 0.000
0.000 0.000 0.500
0.000 0.500 0.000
0.000 0.000 0.000
0.500 0.500 0.500
```

Properties
Energy relative to the elements = 2.135 eV/atom

## CsPb2S2 (GGA-PBEsol)

Data for CsPb2S2 after structural relaxation.

POSCAR file:
```
CsPb2S2
1.0
-4.164 -3.201 -0.962
3.240 -3.486 -2.421
1.300 0.830 6.432
Cs Pb S
1 2 2
Direct
0.000 0.000 0.000
0.659 0.659 0.317
0.341 0.341 0.683
0.750 0.250 0.500
0.250 0.750 0.500
```

Properties
Formation energy without anion corrections = -0.579 eV per atom

## CsSc3Pb (GGA-PBEsol)

Data for CsSc3Pb after structural relaxation.

POSCAR file:
```
CsSc3Pb
1.0
5.205 0.000 0.000
0.000 5.205 0.000
0.000 0.000 5.205
Sc Pb Cs
3 1 1
Direct
0.000 0.500 0.000
0.500 0.000 0.000
0.000 0.000 0.500
0.500 0.500 0.500
0.000 0.000 0.000
```

Properties
Energy relative to the elements = 1.185 eV/atom

## CsScPb3 (GGA-PBEsol)

Data for CsScPb3 after structural relaxation.

POSCAR file:
```
CsScPb3
1.0
5.655 0.000 0.000
0.000 5.655 0.000
0.000 0.000 5.655
Pb Cs Sc
3 1 1
Direct
0.000 0.500 0.000
0.000 0.000 0.500
0.500 0.000 0.000
0.500 0.500 0.500
0.000 0.000 0.000
```

Properties
Energy relative to the elements = -0.022 eV/atom

## CsPb2Se2 (GGA-PBEsol)

Data for CsPb2Se2 after structural relaxation.

POSCAR file:
```
CsPb2Se2
1.0
5.555 0.000 0.000
0.000 5.555 0.000
-2.778 -2.778 5.455
Pb Se Cs
2 2 1
Direct
0.654 0.654 0.308
0.346 0.346 0.692
0.250 0.750 0.500
0.750 0.250 0.500
0.000 0.000 0.000
```

Properties
Formation energy without anion corrections = -0.595 eV per atom

## Cs2SiPb (GGA-PBEsol)

Data for Cs2SiPb after structural relaxation.

POSCAR file:
```
Cs2SiPb
1.0
6.118 0.000 0.000
3.059 5.298 0.000
3.059 1.766 4.995
Cs Pb Si
2 1 1
Direct
0.250 0.250 0.250
0.750 0.750 0.750
0.500 0.500 0.500
0.000 0.000 0.000
```

Properties
Formation energy without anion corrections = 0.530 eV per atom

## CsTlSnPb2 (GGA-PBEsol)

Data for CsTlSnPb2 after structural relaxation.

POSCAR file:
```
CsTlSnPb2
1.0
6.066 0.000 0.000
0.000 6.145 0.000
0.000 0.000 6.145
Cs Tl Pb Sn
1 1 2 1
Direct
0.000 0.000 0.000
0.500 0.500 0.500
0.000 0.500 0.000
0.000 0.000 0.500
0.500 0.000 0.000
```

Properties
Energy relative to the elements = 1.174 eV/atom

## CsZr2SnPb (GGA-PBEsol)

Data for CsZr2SnPb after structural relaxation.

POSCAR file:
```
CsZr2SnPb
1.0
5.491 0.000 0.000
0.000 5.491 0.000
0.000 0.000 6.238
Pb Sn Zr Cs
1 1 2 1
Direct
0.000 0.000 0.000
0.500 0.500 0.500
0.500 0.000 0.000
0.000 0.500 0.000
0.000 0.000 0.500
```

Properties
Energy relative to the elements = 1.125 eV/atom

## CsTa3Pb (GGA-PBEsol)

Data for CsTa3Pb after structural relaxation.

POSCAR file:
```
CsTa3Pb
1.0
5.031 0.000 0.000
0.000 5.031 0.000
0.000 0.000 5.031
Pb Ta Cs
1 3 1
Direct
0.500 0.500 0.500
0.000 0.500 0.000
0.500 0.000 0.000
0.000 0.000 0.500
0.000 0.000 0.000
```

Properties
Energy relative to the elements = 2.962 eV/atom